PBE Pm3Nd4Cd2, relaxed; DFT formation energy = -0.074 eV per atom
1.0
-4.943 0.571 -0.931
-1.660 -5.235 5.601
2.699 6.704 3.547
Pm Nd Cd
3 4 2
direct
0.115 0.677 0.230 Pm
0.885 0.323 0.770 Pm
0.000 0.000 0.000 Pm
0.778 0.688 0.555 Nd
0.222 0.312 0.445 Nd
0.554 0.332 0.109 Nd
0.446 0.668 0.891 Nd
0.663 0.998 0.326 Cd
0.337 0.002 0.674 Cd

=====

PBE Pm3Nd3Cd2, relaxed; DFT formation energy = -0.069 eV per atom
1.0
5.392 0.000 0.000
-2.696 5.985 0.000
0.000 0.000 15.930
Cd Nd Pm
4 6 6
direct
0.772 0.544 0.858 Cd
0.772 0.544 0.642 Cd
0.228 0.456 0.142 Cd
0.228 0.456 0.358 Cd
0.036 0.073 0.607 Nd
0.267 0.534 0.750 Nd
0.964 0.927 0.107 Nd
0.733 0.466 0.250 Nd
0.036 0.073 0.893 Nd
0.964 0.927 0.393 Nd
0.356 0.712 0.971 Pm
0.541 0.083 0.750 Pm
0.459 0.917 0.250 Pm
0.644 0.288 0.471 Pm
0.644 0.288 0.029 Pm
0.356 0.712 0.529 Pm

=====

PBE PmNd3Cd4, relaxed; DFT formation energy = -0.319 eV per atom
1.0
-1.493 -4.028 3.315
0.807 -5.074 -5.803
10.376 -1.547 2.795
Cd Pm Nd
8 2 6
direct
0.500 0.748 0.000 Cd
0.002 0.252 0.750 Cd
0.500 0.748 0.500 Cd
0.500 0.252 0.000 Cd
0.500 0.252 0.500 Cd
0.998 0.748 0.250 Cd
0.002 0.748 0.750 Cd
0.998 0.252 0.250 Cd
0.000 0.500 0.500 Pm
0.000 0.500 0.000 Pm
0.501 0.000 0.750 Nd
0.000 0.000 0.500 Nd
0.000 0.000 0.000 Nd
0.499 0.000 0.250 Nd
0.501 0.500 0.750 Nd
0.499 0.500 0.250 Nd

=====

PBE PmNd3Cd6, relaxed; DFT formation energy = -0.296 eV per atom
1.0
5.264 0.000 0.000
0.000 9.074 -2.720
0.000 0.212 11.301
Nd Cd Pm
6 12 2
direct
0.750 0.650 0.214 Nd
0.250 0.765 0.002 Nd
0.250 0.350 0.786 Nd
0.750 0.235 0.998 Nd
0.250 0.524 0.391 Nd
0.750 0.476 0.609 Nd
0.750 0.143 0.694 Cd
0.750 0.764 0.510 Cd
0.750 0.855 0.809 Cd
0.250 0.450 0.090 Cd
0.250 0.236 0.490 Cd
0.750 0.550 0.910 Cd
0.750 0.949 0.101 Cd
0.250 0.051 0.899 Cd
0.250 0.665 0.709 Cd
0.750 0.335 0.291 Cd
0.250 0.857 0.306 Cd
0.250 0.145 0.191 Cd
0.250 0.944 0.609 Pm
0.750 0.056 0.391 Pm

=====

PBE Pm5Nd3Cd2, relaxed; DFT formation energy = 0.132 eV per atom
1.0
-4.320 3.708 3.662
-7.663 3.588 -6.415
-6.946 -6.531 4.675
Nd Pm Cd
6 10 4
direct
0.361 0.367 0.911 Nd
0.861 0.911 0.367 Nd
0.750 0.000 0.000 Nd
0.639 0.633 0.089 Nd
0.250 0.000 0.000 Nd
0.139 0.089 0.633 Nd
0.099 0.571 0.231 Pm
0.007 0.743 0.743 Pm
0.401 0.769 0.429 Pm
0.750 0.500 0.500 Pm
0.599 0.231 0.571 Pm
0.993 0.257 0.257 Pm
0.250 0.500 0.500 Pm
0.901 0.429 0.769 Pm
0.507 0.743 0.743 Pm
0.493 0.257 0.257 Pm
0.632 0.006 0.729 Cd
0.368 0.994 0.271 Cd
0.132 0.729 0.006 Cd
0.868 0.271 0.994 Cd

=====

PBE Pm8Nd3Cd, relaxed; DFT formation energy = 0.459 eV per atom
1.0
7.606 -0.489 -3.613
-4.447 7.068 -1.189
-0.308 0.489 8.415
Nd Pm Cd
3 8 1
direct
0.500 0.750 0.250 Nd
0.000 0.500 0.500 Nd
0.500 0.250 0.750 Nd
0.748 0.124 0.124 Pm
0.504 0.757 0.757 Pm
0.496 0.253 0.253 Pm
0.000 0.243 0.747 Pm
0.000 0.624 0.876 Pm
0.252 0.376 0.376 Pm
0.000 0.747 0.243 Pm
0.000 0.876 0.624 Pm
0.000 0.000 0.000 Cd

=====

PBE Pm5NdCd3, relaxed; DFT formation energy = -0.168 eV per atom
1.0
7.084 0.000 0.000
0.000 9.435 0.000
0.000 -4.718 8.171
Pm Cd Nd
10 6 2
direct
0.250 0.333 0.333 Pm
0.750 0.000 0.333 Pm
0.250 0.668 0.000 Pm
0.750 0.332 0.000 Pm
0.000 0.333 0.667 Pm
0.500 0.333 0.667 Pm
0.000 0.667 0.333 Pm
0.250 0.000 0.667 Pm
0.750 0.667 0.667 Pm
0.500 0.667 0.333 Pm
0.250 0.335 0.000 Cd
0.250 0.000 0.335 Cd
0.750 0.000 0.665 Cd
0.750 0.335 0.335 Cd
0.250 0.665 0.665 Cd
0.750 0.665 0.000 Cd
0.000 0.000 0.000 Nd
0.500 0.000 0.000 Nd

=====

PBE Pm2NdCd8, relaxed; DFT formation energy = -0.284 eV per atom
1.0
-0.658 3.737 3.795
-6.438 -0.474 -0.674
3.381 -7.369 4.060
Cd Pm Nd
8 2 1
direct
0.126 0.357 0.254 Cd
0.129 0.898 0.254 Cd
0.874 0.643 0.746 Cd
0.299 0.799 0.598 Cd
0.748 0.503 0.000 Cd
0.701 0.201 0.402 Cd
0.252 0.497 0.000 Cd
0.871 0.102 0.746 Cd
0.691 0.691 0.382 Pm
0.309 0.309 0.618 Pm
0.500 0.000 0.000 Nd

=====

PBE Pm14NdCd, relaxed; DFT formation energy = -0.012 eV per atom
1.0
7.147 0.959 0.000
-0.959 7.147 0.000
0.000 0.000 10.269
Pm Nd Cd
14 1 1
direct
0.123 0.877 0.753 Pm
0.875 0.125 0.500 Pm
0.627 0.373 0.246 Pm
0.375 0.625 0.500 Pm
0.627 0.373 0.754 Pm
0.875 0.626 0.000 Pm
0.123 0.373 0.753 Pm
0.123 0.373 0.247 Pm
0.123 0.877 0.247 Pm
0.374 0.125 0.000 Pm
0.875 0.624 0.500 Pm
0.627 0.877 0.753 Pm
0.376 0.125 0.500 Pm
0.627 0.877 0.247 Pm
0.375 0.625 0.000 Nd
0.875 0.125 0.000 Cd

=====

PBE Pm3Nd2Cd2, relaxed; polymorph energy (0 for the lowest one) = 33.2 kJ/mol of formula units; DFT formation energy = -0.105 eV per atom
1.0
-0.113 -2.201 -2.938
1.385 -2.715 1.981
-15.227 -3.664 5.625
Nd Cd Pm
2 2 3
direct
0.703 0.500 0.407 Nd
0.297 0.500 0.593 Nd
0.140 0.000 0.279 Cd
0.860 0.000 0.721 Cd
0.423 0.500 0.846 Pm
0.577 0.500 0.154 Pm
0.000 0.000 0.000 Pm